A relaxed structure of EuMg2As2, computed with GGA-PBE.

Cell lengths 4.2360, 4.2360, 7.3081 Å; angles 106.73, 106.73, 90.00 degrees
Closest atoms and distances in Å follow each position.
Fractional coordinates of all 5 atoms:
Eu: 0.0000 0.0000 0.0000  8 As 3.43-3.45
Mg: 0.2501 0.7499 0.5000  4 As 2.68-2.69, 4 Mg 2.99-3.00
Mg: 0.7499 0.2501 0.5000  4 As 2.68-2.69, 4 Mg 2.99-3.00
As: 0.3730 0.3730 0.7472  4 Mg 2.68-2.69
As: 0.6270 0.6270 0.2528  4 Mg 2.68-2.69

Its energy of formation from the pure elements is -814.0 meV/atom.